# 1
{
  "formula": "CeDy2CrN4",
  "functional": "PBE-GGA",
  "state": "optimized geometry",
  "lattice_angstrom": [[1.693, -5.757, 0.000], [1.693, 5.757, 0.000], [0.000, 0.000, 11.637]],
  "species": ["Ce", "Ce", "Dy", "Dy", "Dy", "Dy", "Cr", "Cr", "N", "N", "N", "N", "N", "N", "N", "N"],
  "fractional_positions": [[0.097, 0.903, 0.750], [0.903, 0.097, 0.250], [0.369, 0.631, 0.544], [0.369, 0.631, 0.956], [0.631, 0.369, 0.044], [0.631, 0.369, 0.456], [0.165, 0.835, 0.250], [0.835, 0.165, 0.750], [0.000, 0.000, 0.000], [0.000, 0.000, 0.500], [0.268, 0.732, 0.130], [0.268, 0.732, 0.370], [0.427, 0.573, 0.750], [0.573, 0.427, 0.250], [0.732, 0.268, 0.630], [0.732, 0.268, 0.870]],
  "e_form_raw_ev_per_fu": -10.0,
  "crystal_system": "orthorhombic"
}

# 2
{
  "formula": "Rb2Y2BiS6",
  "functional": "PBE-GGA",
  "state": "optimized geometry",
  "lattice_angstrom": [[3.485, -6.048, 0.000], [3.485, 6.048, 0.000], [-2.302, 0.000, 7.937]],
  "species": ["Rb", "Rb", "Y", "Y", "Bi", "S", "S", "S", "S", "S", "S"],
  "fractional_positions": [[0.166, 0.834, 0.000], [0.834, 0.166, 0.000], [0.333, 0.667, 0.500], [0.667, 0.333, 0.500], [0.000, 0.000, 0.500], [0.062, 0.397, 0.689], [0.270, 0.270, 0.311], [0.397, 0.062, 0.689], [0.603, 0.938, 0.311], [0.730, 0.730, 0.689], [0.938, 0.603, 0.311]],
  "e_form_raw_ev_per_fu": -15.1,
  "crystal_system": "monoclinic"
}

# 3
{
  "formula": "CoCu5",
  "functional": "PBE-GGA",
  "state": "optimized geometry",
  "lattice_angstrom": [[0.000, 3.341, 3.341], [3.341, 0.000, 3.341], [3.341, 3.341, 0.000]],
  "species": ["Co", "Cu", "Cu", "Cu", "Cu", "Cu"],
  "fractional_positions": [[0.000, 0.000, 0.000], [0.125, 0.625, 0.625], [0.250, 0.250, 0.250], [0.625, 0.125, 0.625], [0.625, 0.625, 0.125], [0.625, 0.625, 0.625]],
  "crystal_system": "cubic",
  "delta_e_f_ev_per_atom": 0.286
}

# 4
{
  "formula": "InI2NO",
  "functional": "PBE-GGA",
  "state": "optimized geometry",
  "lattice_angstrom": [[5.391, 0.000, 0.000], [0.000, 5.391, 0.000], [0.000, 0.000, 3.984]],
  "species": ["In", "I", "I", "N", "O"],
  "fractional_positions": [[0.000, 0.000, 0.000], [0.000, 0.500, 0.500], [0.500, 0.000, 0.500], [0.500, 0.500, 0.000], [0.500, 0.500, 0.500]],
  "e_form_raw_ev_per_fu": 5.5,
  "polymorph_energy_kcal_per_mol_atoms": 7.85,
  "crystal_system": "tetragonal"
}

Number 1: total energy -8.514 eV per atom. Number 2: total energy -5.331 eV per atom. Number 3: total energy -4.312 eV per atom. Number 4: total energy -2.724 eV per atom.